Below is ThNO after structural relaxation, with properties calculated at the PBE level.

The excess energy over the best structure of this formula in the dataset comes out at 0 meV per atom. Its energy relative to the elements, uncorrected is -2180 meV/atom. For the density of states at the Fermi level, the calculation gives 0.158 states/eV per atom.

Cell lengths 7.895, 3.970, 5.834 Å; angles 90.00, 90.00, 90.00 degrees
Space group Pnma (No. 62)
Unique sites:
Th 0.128 0.250 0.237 x4
N 0.109 0.750 0.497 x4
O 0.128 0.750 0.996 x4